Entry 1:
## Ca2HgGe2 (GGA-PBE)

Data for a geometry-optimized Ca2HgGe2 structure.

Geometry as extended XYZ:
```
10
Lattice="4.6604 0.0000 0.0000 2.3302 5.5160 -0.1180 2.3302 0.6246 9.5441" Properties=species:S:1:pos:R:3 pbc="T T T"
Ca 2.3302 1.5477 0.9201
Ca 4.6604 2.0461 6.3945
Ca 6.9906 4.5929 8.5060
Ca 4.6604 4.0946 3.0316
Hg 4.6604 0.8656 3.1710
Hg 4.6604 5.2750 6.2551
Ge 6.9906 1.4569 8.5365
Ge 2.3302 1.8803 4.2594
Ge 2.3302 4.6837 0.8896
Ge 6.9906 4.2603 5.1667
```

DFT total energy, Ry/atom: -0.23696
Space group: No. 12



Entry 2:
## Ca2HgGe2 (GGA-PBE)

Data for a geometry-optimized Ca2HgGe2 structure.

Geometry as extended XYZ:
```
5
Lattice="3.8113 0.0000 0.0000 0.0000 3.8113 0.0000 1.9057 1.9057 8.9435" Properties=species:S:1:pos:R:3 pbc="T T T"
Ge 3.8113 1.9057 4.4718
Ge 1.9057 3.8113 4.4718
Ca 1.9057 1.9057 1.9373
Ca 3.8113 3.8113 7.0062
Hg 0.0000 0.0000 0.0000
```

DFT total energy, Ry/atom: -0.22311
Space group: No. 139



Entry 3:
## CaHgGe (GGA-PBE)

Data for a geometry-optimized CaHgGe structure.

Geometry as extended XYZ:
```
6
Lattice="5.9448 0.0358 0.0685 -1.8902 4.3165 -0.0230 3.4399 -1.0132 6.0684" Properties=species:S:1:pos:R:3 pbc="T T T"
Ca 0.9400 3.0318 3.6571
Ca 5.0418 2.2364 0.7171
Ge 2.0612 0.9372 1.6464
Ge 3.6849 1.6625 3.7110
Hg 2.1382 3.5377 0.4137
Hg 5.8071 0.0162 3.1498
```

DFT total energy, Ry/atom: -0.19459
Space group: No. 1